# KFe2Ru (PBEsol, optimized geometry)
# formation energy	0.890	eV/atom
# distance to the lowest polymorph of the same formula	127	meV/atom
# space-group type	Cm
# uncorrected energy	-6.42	eV/atom
data_KFe2Ru
_symmetry_space_group_name_H-M 'P 1'
_symmetry_Int_Tables_number 1
_symmetry_space_group_name_Hall 'P 1'
_cell_length_a 4.2821
_cell_length_b 4.2821
_cell_length_c 6.9087
_cell_angle_alpha 95.32
_cell_angle_beta 95.32
_cell_angle_gamma 36.37
loop_
_atom_site_label
_atom_site_fract_x
_atom_site_fract_y
_atom_site_fract_z
_atom_site_occupancy
K1 0.0000 0.0000 0.0000 1
Fe1 0.4942 0.4942 0.5071 1
Fe2 0.7792 0.7792 0.3554 1
Ru1 0.2275 0.2275 0.6368 1